A plane-wave DFT calculation with GGA-PBEsol was carried out for a relaxed structure of ZrMnSe.

a = 4.412 Å, b = 4.412 Å, c = 4.412 Å
α = 60.00°, β = 60.00°, γ = 60.00°
Sites, in units of the cell vectors:
Zr 0.000 0.000 0.000
Mn 0.750 0.750 0.750
Se 0.250 0.250 0.250

Results
Energy above the lowest structure with this stoichiometry, meV/atom: 585
Crystal system: cubic
Energy relative to the elements, uncorrected, kJ/mol of atoms: 23
Energy, eV per atom: -7.327
Magnetization, μB/f.u.: 2.57

A plane-wave DFT calculation with GGA-PBEsol was carried out for a relaxed structure of ZrMnSe.

a = 5.092 Å, b = 5.092 Å, c = 5.092 Å
α = 141.49°, β = 141.49°, γ = 55.60°
Sites, in units of the cell vectors:
Zr 0.000 0.000 0.000
Mn 0.323 0.323 0.000
Se 0.678 0.678 0.000

Results
Energy above the lowest structure with this stoichiometry, meV/atom: 0
Crystal system: tetragonal
Energy relative to the elements, uncorrected, kJ/mol of atoms: -33
Energy, eV per atom: -7.912
Magnetization, μB/f.u.: 3.24

A plane-wave DFT calculation with GGA-PBEsol was carried out for a relaxed structure of Zr2MnSe.

a = 5.548 Å, b = 5.548 Å, c = 5.548 Å
α = 140.40°, β = 140.40°, γ = 57.25°
Sites, in units of the cell vectors:
Zr 0.000 0.000 0.000
Zr 0.750 0.250 0.500
Mn 0.500 0.500 0.000
Se 0.250 0.750 0.500

Results
Crystal system: tetragonal
Energy relative to the elements, uncorrected, kJ/mol of atoms: -30
Energy, eV per atom: -8.254
Magnetization, μB/f.u.: 0.99

A plane-wave DFT calculation with GGA-PBEsol was carried out for a relaxed structure of Mn8Si.

a = 5.487 Å, b = 5.487 Å, c = 5.487 Å
α = 95.78°, β = 95.78°, γ = 143.01°
Sites, in units of the cell vectors:
Mn 0.000 0.341 0.341
Mn 0.000 0.659 0.659
Mn 0.328 0.328 0.656
Mn 0.328 0.672 0.000
Mn 0.341 0.000 0.341
Mn 0.659 0.000 0.659
Mn 0.672 0.328 0.000
Mn 0.672 0.672 0.344
Si 0.000 0.000 0.000

Results
Crystal system: tetragonal
Energy relative to the elements, uncorrected, kJ/mol of atoms: -7
Energy, eV per atom: -9.387
Magnetization, μB/f.u.: 0.01

A plane-wave DFT calculation with GGA-PBEsol was carried out for a relaxed structure of Mn5Si3.

a = 4.967 Å, b = 4.967 Å, c = 3.667 Å
α = 90.00°, β = 90.00°, γ = 96.25°
Sites, in units of the cell vectors:
Mn 0.000 0.000 0.000
Mn 0.000 0.500 0.000
Mn 0.282 0.282 0.500
Mn 0.500 0.000 0.000
Mn 0.718 0.718 0.500
Si 0.218 0.782 0.500
Si 0.500 0.500 0.000
Si 0.782 0.218 0.500

Results
Energy above the lowest structure with this stoichiometry, meV/atom: 33
Crystal system: orthorhombic
Energy relative to the elements, uncorrected, kJ/mol of atoms: -33
Energy, eV per atom: -8.593
Magnetization, μB/f.u.: 9.01

A plane-wave DFT calculation with GGA-PBEsol was carried out for a relaxed structure of Mn4Si7.

a = 5.447 Å, b = 5.447 Å, c = 17.192 Å
α = 90.00°, β = 90.00°, γ = 90.00°
Sites, in units of the cell vectors:
Mn 0.000 0.000 0.000
Mn 0.000 0.000 0.250
Mn 0.000 0.000 0.500
Mn 0.000 0.000 0.750
Mn 0.000 0.500 0.065
Mn 0.000 0.500 0.308
Mn 0.000 0.500 0.565
Mn 0.000 0.500 0.808
Mn 0.500 0.000 0.192
Mn 0.500 0.000 0.435
Mn 0.500 0.000 0.692
Mn 0.500 0.000 0.935
Mn 0.500 0.500 0.130
Mn 0.500 0.500 0.370
Mn 0.500 0.500 0.630
Mn 0.500 0.500 0.870
Si 0.156 0.200 0.387
Si 0.156 0.800 0.887
Si 0.159 0.321 0.682
Si 0.159 0.679 0.182
Si 0.200 0.156 0.113
Si 0.200 0.844 0.613
Si 0.231 0.346 0.961
Si 0.231 0.654 0.461
Si 0.321 0.159 0.818
Si 0.321 0.841 0.318
Si 0.333 0.333 0.250
Si 0.333 0.667 0.750
Si 0.346 0.231 0.539
Si 0.346 0.769 0.039
Si 0.654 0.231 0.039
Si 0.654 0.769 0.539
Si 0.667 0.333 0.750
Si 0.667 0.667 0.250
Si 0.679 0.159 0.318
Si 0.679 0.841 0.818
Si 0.769 0.346 0.461
Si 0.769 0.654 0.961
Si 0.800 0.156 0.613
Si 0.800 0.844 0.113
Si 0.841 0.321 0.182
Si 0.841 0.679 0.682
Si 0.844 0.200 0.887
Si 0.844 0.800 0.387

Results
Crystal system: tetragonal
Energy relative to the elements, uncorrected, kJ/mol of atoms: -51
Energy, eV per atom: -7.736
Magnetization, μB/f.u.: 0.00

A plane-wave DFT calculation with GGA-PBEsol was carried out for a relaxed structure of Mn5Si3.

a = 6.660 Å, b = 6.660 Å, c = 4.525 Å
α = 90.00°, β = 90.00°, γ = 120.00°
Sites, in units of the cell vectors:
Mn 0.000 0.236 0.250
Mn 0.000 0.764 0.750
Mn 0.236 0.000 0.250
Mn 0.236 0.236 0.750
Mn 0.333 0.667 0.000
Mn 0.333 0.667 0.500
Mn 0.667 0.333 0.000
Mn 0.667 0.333 0.500
Mn 0.764 0.000 0.750
Mn 0.764 0.764 0.250
Si 0.000 0.393 0.750
Si 0.000 0.607 0.250
Si 0.393 0.000 0.750
Si 0.393 0.393 0.250
Si 0.607 0.000 0.250
Si 0.607 0.607 0.750

Results
Energy above the lowest structure with this stoichiometry, meV/atom: 0
Crystal system: hexagonal
Energy relative to the elements, uncorrected, kJ/mol of atoms: -36
Energy, eV per atom: -8.626
Magnetization, μB/f.u.: 0.00

A plane-wave DFT calculation with GGA-PBEsol was carried out for a relaxed structure of SmMnSi.

a = 3.932 Å, b = 3.932 Å, c = 7.124 Å
α = 90.00°, β = 90.00°, γ = 90.00°
Sites, in units of the cell vectors:
Sm 0.250 0.250 0.171
Sm 0.750 0.750 0.829
Mn 0.250 0.750 0.500
Mn 0.750 0.250 0.500
Si 0.250 0.250 0.691
Si 0.750 0.750 0.309

Results
Crystal system: tetragonal
Energy relative to the elements, uncorrected, kJ/mol of atoms: -51
Energy, eV per atom: -7.397
Magnetization, μB/f.u.: 1.76

A plane-wave DFT calculation with GGA-PBEsol was carried out for a relaxed structure of MnSi2Sn.

a = 8.535 Å, b = 8.535 Å, c = 8.535 Å
α = 151.37°, β = 151.37°, γ = 40.93°
Sites, in units of the cell vectors:
Mn 0.000 0.000 0.000
Mn 0.750 0.250 0.500
Si 0.023 0.625 0.898
Si 0.375 0.273 0.398
Si 0.727 0.125 0.102
Si 0.875 0.977 0.602
Sn 0.250 0.750 0.500
Sn 0.500 0.500 0.000

Results
Crystal system: tetragonal
Energy relative to the elements, uncorrected, kJ/mol of atoms: 27
Energy, eV per atom: -6.099
Magnetization, μB/f.u.: 2.56

A plane-wave DFT calculation with GGA-PBEsol was carried out for a relaxed structure of SrMnSi.

a = 4.896 Å, b = 4.896 Å, c = 4.896 Å
α = 60.00°, β = 60.00°, γ = 60.00°
Sites, in units of the cell vectors:
Sr 0.000 0.000 0.000
Mn 0.250 0.250 0.250
Si 0.750 0.750 0.750

Results
Crystal system: cubic
Energy relative to the elements, uncorrected, kJ/mol of atoms: 106
Energy, eV per atom: -4.681
Magnetization, μB/f.u.: 4.63

A plane-wave DFT calculation with GGA-PBEsol was carried out for a relaxed structure of Sr2MnSi.

a = 5.727 Å, b = 5.727 Å, c = 5.727 Å
α = 132.06°, β = 132.06°, γ = 70.14°
Sites, in units of the cell vectors:
Sr 0.000 0.000 0.000
Sr 0.750 0.250 0.500
Mn 0.500 0.500 0.000
Si 0.250 0.750 0.500

Results
Crystal system: tetragonal
Energy relative to the elements, uncorrected, kJ/mol of atoms: 38
Energy, eV per atom: -4.404
Magnetization, μB/f.u.: 3.86

A plane-wave DFT calculation with GGA-PBEsol was carried out for a relaxed structure of Sr2MnSi.

a = 9.733 Å, b = 9.733 Å, c = 9.733 Å
α = 22.49°, β = 22.49°, γ = 22.49°
Sites, in units of the cell vectors:
Sr 0.245 0.245 0.245
Sr 0.755 0.755 0.755
Mn 0.000 0.000 0.000
Si 0.500 0.500 0.500

Results
Crystal system: trigonal
Energy relative to the elements, uncorrected, kJ/mol of atoms: 56
Energy, eV per atom: -4.219
Magnetization, μB/f.u.: 3.73

A plane-wave DFT calculation with GGA-PBEsol was carried out for a relaxed structure of Sr2MnSi.

a = 4.911 Å, b = 4.911 Å, c = 4.387 Å
α = 90.00°, β = 90.00°, γ = 90.00°
Sites, in units of the cell vectors:
Sr 0.000 0.500 0.000
Sr 0.500 0.000 0.000
Mn 0.000 0.000 0.500
Si 0.500 0.500 0.500

Results
Crystal system: tetragonal
Energy relative to the elements, uncorrected, kJ/mol of atoms: 29
Energy, eV per atom: -4.502
Magnetization, μB/f.u.: 4.39

A plane-wave DFT calculation with GGA-PBEsol was carried out for a relaxed structure of Ta2MnSi.

a = 4.630 Å, b = 4.630 Å, c = 4.630 Å
α = 128.78°, β = 128.78°, γ = 75.36°
Sites, in units of the cell vectors:
Ta 0.250 0.750 0.500
Ta 0.750 0.250 0.500
Mn 0.000 0.000 0.000
Si 0.500 0.500 0.000

Results
Energy above the lowest structure with this stoichiometry, meV/atom: 153
Crystal system: tetragonal
Energy relative to the elements, uncorrected, kJ/mol of atoms: -17
Energy, eV per atom: -10.332
Magnetization, μB/f.u.: 1.26

A plane-wave DFT calculation with GGA-PBEsol was carried out for a relaxed structure of Ta2MnSi.

a = 3.250 Å, b = 3.271 Å, c = 5.529 Å
α = 90.00°, β = 90.00°, γ = 90.00°
Sites, in units of the cell vectors:
Ta 0.000 0.000 0.250
Ta 0.000 0.000 0.750
Mn 0.500 0.500 0.000
Si 0.500 0.500 0.500

Results
Energy above the lowest structure with this stoichiometry, meV/atom: 158
Crystal system: orthorhombic
Energy relative to the elements, uncorrected, kJ/mol of atoms: -17
Energy, eV per atom: -10.327
Magnetization, μB/f.u.: 1.07

A plane-wave DFT calculation with GGA-PBEsol was carried out for a relaxed structure of TaMnSi.

a = 4.142 Å, b = 4.142 Å, c = 4.142 Å
α = 60.00°, β = 60.00°, γ = 60.00°
Sites, in units of the cell vectors:
Ta 0.000 0.000 0.000
Mn 0.250 0.250 0.250
Si 0.750 0.750 0.750

Results
Crystal system: cubic
Energy relative to the elements, uncorrected, kJ/mol of atoms: 55
Energy, eV per atom: -8.786
Magnetization, μB/f.u.: 1.48

A plane-wave DFT calculation with GGA-PBEsol was carried out for a relaxed structure of TaMn2Si.

a = 4.798 Å, b = 4.798 Å, c = 4.798 Å
α = 137.03°, β = 137.03°, γ = 62.40°
Sites, in units of the cell vectors:
Ta 0.000 0.000 0.000
Mn 0.500 0.500 0.000
Mn 0.750 0.250 0.500
Si 0.250 0.750 0.500

Results
Crystal system: tetragonal
Energy relative to the elements, uncorrected, kJ/mol of atoms: -21
Energy, eV per atom: -9.676
Magnetization, μB/f.u.: 1.44

A plane-wave DFT calculation with GGA-PBEsol was carried out for a relaxed structure of TaMn2Si.

a = 2.743 Å, b = 4.077 Å, c = 4.646 Å
α = 90.00°, β = 102.78°, γ = 90.00°
Sites, in units of the cell vectors:
Ta 0.000 0.000 0.000
Mn 0.465 0.000 0.495
Mn 0.785 0.500 0.299
Si 0.427 0.500 0.751

Results
Crystal system: monoclinic
Energy relative to the elements, uncorrected, kJ/mol of atoms: -17
Energy, eV per atom: -9.633
Magnetization, μB/f.u.: 0.17

A plane-wave DFT calculation with GGA-PBEsol was carried out for a relaxed structure of Ta2MnSi.

a = 4.480 Å, b = 4.480 Å, c = 3.007 Å
α = 90.00°, β = 90.00°, γ = 105.09°
Sites, in units of the cell vectors:
Ta 0.000 0.500 0.000
Ta 0.500 0.000 0.000
Mn 0.000 0.000 0.500
Si 0.500 0.500 0.500

Results
Energy above the lowest structure with this stoichiometry, meV/atom: 156
Crystal system: orthorhombic
Energy relative to the elements, uncorrected, kJ/mol of atoms: -17
Energy, eV per atom: -10.330
Magnetization, μB/f.u.: 0.52

A plane-wave DFT calculation with GGA-PBEsol was carried out for a relaxed structure of TaMnSi.

a = 6.334 Å, b = 6.334 Å, c = 3.450 Å
α = 90.00°, β = 90.00°, γ = 120.00°
Sites, in units of the cell vectors:
Ta 0.000 0.589 0.000
Ta 0.411 0.411 0.000
Ta 0.589 0.000 0.000
Mn 0.000 0.246 0.500
Mn 0.246 0.000 0.500
Mn 0.754 0.754 0.500
Si 0.000 0.000 0.000
Si 0.333 0.667 0.500
Si 0.667 0.333 0.500

Results
Crystal system: hexagonal
Energy relative to the elements, uncorrected, kJ/mol of atoms: -56
Energy, eV per atom: -9.936
Magnetization, μB/f.u.: 0.64